Record 1
## TiNb3Re2 (GGA-PBE)

Data for a geometry-optimized TiNb3Re2 structure.

```
data_TiNb3Re2
_space_group_name_H-M_alt 'P 1'
_space_group_IT_number 1
_cell_length_a 4.4738
_cell_length_b 6.9997
_cell_length_c 7.0979
_cell_angle_alpha 96.10
_cell_angle_beta 108.37
_cell_angle_gamma 90.00
loop_
_space_group_symop_operation_xyz
'x,y,z'
loop_
_atom_site_label
_atom_site_fract_x
_atom_site_fract_y
_atom_site_fract_z
Ti1 0.8494 0.7145 0.6988
Ti2 0.1506 0.2855 0.3012
Nb1 0.6126 0.5694 0.2251
Nb2 0.0725 0.8625 0.1451
Nb3 0.3874 0.4306 0.7749
Nb4 0.6928 0.9704 0.3855
Nb5 0.9275 0.1375 0.8549
Nb6 0.3072 0.0296 0.6145
Re1 0.4608 0.8106 0.9215
Re2 0.7687 0.3472 0.5374
Re3 0.2313 0.6528 0.4626
Re4 0.5392 0.1894 0.0785
```

DOS(E_F): 7.67 states/eV per cell
density: 11.07 Mg/m³
E_tot: -10.633 eV per atom
space group: C2/m, No. 12
energy of formation: -0.1329 eV/atom

Record 2
## Mg2AgBr (GGA-PBE)

Data for a geometry-optimized Mg2AgBr structure.

```
data_Mg2AgBr
_space_group_name_H-M_alt 'P 1'
_space_group_IT_number 1
_cell_length_a 3.4803
_cell_length_b 4.7507
_cell_length_c 6.1570
_cell_angle_alpha 62.32
_cell_angle_beta 90.00
_cell_angle_gamma 90.00
loop_
_space_group_symop_operation_xyz
'x,y,z'
loop_
_atom_site_label
_atom_site_fract_x
_atom_site_fract_y
_atom_site_fract_z
Br1 0.5000 0.6262 0.8725
Mg1 0.0000 0.1203 0.8776
Mg2 0.5000 0.1288 0.3728
Ag1 0.0000 0.6247 0.3771
```

DOS(E_F): 0.56 states/eV per cell
offset from the most stable computed form: 159.0 meV per atom
density: 4.35 Mg/m³
E_tot: -2.225 eV per atom
space group: Pm, No. 6
ΔE_f (raw): -296.3 meV per atom

Record 3
## LiYTa3 (GGA-PBE)

Data for a geometry-optimized LiYTa3 structure.

```
data_LiYTa3
_space_group_name_H-M_alt 'P 1'
_space_group_IT_number 1
_cell_length_a 4.6262
_cell_length_b 4.6262
_cell_length_c 4.6262
_cell_angle_alpha 90.00
_cell_angle_beta 90.00
_cell_angle_gamma 90.00
loop_
_space_group_symop_operation_xyz
'x,y,z'
loop_
_atom_site_label
_atom_site_fract_x
_atom_site_fract_y
_atom_site_fract_z
Ta1 0.0000 0.0000 0.5000
Ta2 0.5000 0.0000 0.0000
Ta3 0.0000 0.5000 0.0000
Y1 0.5000 0.5000 0.5000
Li1 0.0000 0.0000 0.0000
```

DOS(E_F): 8.11 states/eV per cell
offset from the most stable computed form: 0.0 meV per atom
density: 10.71 Mg/m³
E_tot: -7.686 eV per atom
space group: Pm-3m, No. 221
energy of formation: 1.1013 eV/atom